A relaxed Tb6SmHo2Er crystal. Source: Alexandria via LeMat-Bulk, functional PBE.

```
Tb6SmHo2Er
1.0
4.535 -7.515 0.000
4.535 7.515 0.000
-1.214 0.000 9.461
Tb Sm Ho Er
12 2 4 2
direct
0.016 0.566 0.184 Tb
0.123 0.752 0.556 Tb
0.248 0.877 0.944 Tb
0.292 0.508 0.381 Tb
0.434 0.984 0.316 Tb
0.492 0.708 0.119 Tb
0.508 0.292 0.881 Tb
0.566 0.016 0.684 Tb
0.708 0.492 0.619 Tb
0.752 0.123 0.056 Tb
0.877 0.248 0.444 Tb
0.984 0.434 0.816 Tb
0.025 0.975 0.250 Sm
0.975 0.025 0.750 Sm
0.199 0.303 0.045 Ho
0.303 0.199 0.545 Ho
0.697 0.801 0.455 Ho
0.801 0.697 0.955 Ho
0.410 0.590 0.750 Er
0.590 0.410 0.250 Er
```

## Properties
N(E_F) in states/eV/atom: 1.399
Energy relative to the elements in eV/atom: 0.119
Symmetry: C2/c, No. 15

A relaxed TbSmHoEr crystal. Source: Alexandria via LeMat-Bulk, functional PBE.

```
TbSmHoEr
1.0
-2.515 2.515 5.016
2.515 -2.515 5.016
2.515 2.515 -5.016
Tb Sm Ho Er
1 1 1 1
direct
0.000 0.000 0.000 Tb
0.250 0.750 0.500 Sm
0.500 0.500 0.000 Ho
0.750 0.250 0.500 Er
```

## Properties
N(E_F) in states/eV/atom: 1.396
Energy relative to the elements in eV/atom: 0.019
Symmetry: I-4m2, No. 119

A relaxed TbSm3Ho6Er2 crystal. Source: Alexandria via LeMat-Bulk, functional PBE.

```
TbSm3Ho6Er2
1.0
3.076 -5.323 0.000
3.076 5.323 0.000
-2.041 0.000 11.568
Tb Sm Ho Er
1 3 6 2
direct
0.000 0.000 0.000 Tb
0.167 0.833 0.500 Sm
0.500 0.500 0.500 Sm
0.833 0.167 0.500 Sm
0.083 0.416 0.247 Ho
0.251 0.251 0.753 Ho
0.416 0.083 0.247 Ho
0.584 0.917 0.753 Ho
0.749 0.749 0.247 Ho
0.917 0.584 0.753 Ho
0.333 0.667 0.000 Er
0.667 0.333 0.000 Er
```

## Properties
N(E_F) in states/eV/atom: 1.310
Energy relative to the elements in eV/atom: 0.018
Symmetry: C2/m, No. 12

A relaxed TbSm2Ho4Er crystal. Source: Alexandria via LeMat-Bulk, functional PBE.

```
TbSm2Ho4Er
1.0
6.784 -6.623 0.000
6.784 6.623 0.000
-3.390 0.000 5.875
Tb Sm Ho Er
2 4 8 2
direct
0.000 0.500 0.000 Tb
0.500 0.000 0.500 Tb
0.000 0.000 0.000 Sm
0.000 0.000 0.500 Sm
0.000 0.500 0.500 Sm
0.500 0.000 0.000 Sm
0.252 0.254 0.004 Ho
0.253 0.747 0.001 Ho
0.253 0.747 0.499 Ho
0.254 0.252 0.504 Ho
0.746 0.748 0.496 Ho
0.747 0.253 0.501 Ho
0.747 0.253 0.999 Ho
0.748 0.746 0.996 Ho
0.500 0.500 0.000 Er
0.500 0.500 0.500 Er
```

## Properties
N(E_F) in states/eV/atom: 2.129
Energy relative to the elements in eV/atom: 0.436
Symmetry: C2/c, No. 15

A relaxed Tb2SmHo3Er6 crystal. Source: Alexandria via LeMat-Bulk, functional PBE.

```
Tb2SmHo3Er6
1.0
3.058 -5.290 0.000
3.058 5.290 0.000
-2.030 0.000 11.502
Tb Sm Ho Er
2 1 3 6
direct
0.167 0.833 0.000 Tb
0.833 0.167 0.000 Tb
0.500 0.500 0.000 Sm
0.000 0.000 0.500 Ho
0.333 0.667 0.500 Ho
0.667 0.333 0.500 Ho
0.082 0.416 0.748 Er
0.251 0.251 0.252 Er
0.416 0.082 0.748 Er
0.584 0.918 0.252 Er
0.749 0.749 0.748 Er
0.918 0.584 0.252 Er
```

## Properties
N(E_F) in states/eV/atom: 1.338
Energy relative to the elements in eV/atom: 0.019
Symmetry: C2/m, No. 12

A relaxed Tb3Sm2HoEr6 crystal. Source: Alexandria via LeMat-Bulk, functional PBE.

```
Tb3Sm2HoEr6
1.0
3.068 -5.310 0.000
3.068 5.310 0.000
-2.036 0.000 11.528
Tb Sm Ho Er
3 2 1 6
direct
0.000 0.000 0.000 Tb
0.333 0.667 0.000 Tb
0.667 0.333 0.000 Tb
0.167 0.833 0.500 Sm
0.833 0.167 0.500 Sm
0.500 0.500 0.500 Ho
0.083 0.416 0.249 Er
0.251 0.251 0.751 Er
0.416 0.083 0.249 Er
0.584 0.917 0.751 Er
0.749 0.749 0.249 Er
0.917 0.584 0.751 Er
```

## Properties
N(E_F) in states/eV/atom: 1.278
Energy relative to the elements in eV/atom: 0.018
Symmetry: C2/m, No. 12